Density functional theory data (GGA-PBE) for a relaxed structure of VNi3C.

Cell and atoms, written as POSCAR:
```
VNi3C
1.0
3.789 0.000 0.000
0.000 3.789 0.000
0.000 0.000 3.789
Ni V C
3 1 1
direct
0.000 0.500 0.000
0.500 0.000 0.000
0.000 0.000 0.500
0.500 0.500 0.500
0.000 0.000 0.000
```

**SG**: Pm-3m
**E above lowest polymorph**: 0.0 meV/atom
**Energy of formation**: 0.178 eV/atom
**Energy**: -6.96 eV per atom